Rb2YFeF6 after structural relaxation, computed with GGA+U.

Properties
VASP energy = -5.425 eV per atom

Lattice parameters (Å, degrees): 6.251 6.251 6.396 60.74 60.74 90.00
Last column: magnetic moment on the atom in μB.
Fractional coordinates of all 10 atoms:
Rb 0.250 0.750 0.500  0.00
Rb 0.750 0.250 0.500  0.00
F 0.753 0.247 0.000  0.01
F 0.236 0.236 0.528  0.01
Fe 0.500 0.500 0.000  2.92
F 0.753 0.753 0.000  0.01
F 0.764 0.764 0.472  0.01
F 0.247 0.247 0.000  0.01
Y 0.000 0.000 0.000  0.01
F 0.247 0.753 0.000  0.01